Entry 1:
Entry from Alexandria via LeMat-Bulk: NaScPd2 after structural relaxation (PBE-GGA).

**ΔE_f**: -0.57 eV/atom

CIF file:
```
data_NaScPd2
_chemical_formula_sum 'Na1 Sc1 Pd2'
_symmetry_space_group_name_H-M 'P 4/m m m'
_symmetry_Int_Tables_number 123
_symmetry_space_group_name_Hall '-P 4 2'
_cell_length_a 3.239
_cell_length_b 3.239
_cell_length_c 7.331
_cell_angle_alpha 90.00
_cell_angle_beta 90.00
_cell_angle_gamma 90.00
loop_
_atom_site_label
_atom_site_fract_x
_atom_site_fract_y
_atom_site_fract_z
Na1 0.000 0.000 0.000
Sc1 0.000 0.000 0.500
Pd1 0.500 0.500 0.287
```

Entry 2:
Entry from Alexandria via LeMat-Bulk: DyMg2Al6 after structural relaxation (PBE-GGA).

**ΔE_f**: -0.13 eV/atom

CIF file:
```
data_DyMg2Al6
_chemical_formula_sum 'Dy1 Mg2 Al6'
_symmetry_space_group_name_H-M 'P 6/m m m'
_symmetry_Int_Tables_number 191
_symmetry_space_group_name_Hall '-P 6 2'
_cell_length_a 7.9294
_cell_length_b 7.9294
_cell_length_c 3.2655
_cell_angle_alpha 90.00
_cell_angle_beta 90.00
_cell_angle_gamma 120.00
loop_
_atom_site_label
_atom_site_fract_x
_atom_site_fract_y
_atom_site_fract_z
Dy1 0.0000 0.0000 0.0000
Mg1 0.3333 0.6667 0.0000
Al1 0.0000 0.3362 0.5000
```

Entry 3:
Entry from Alexandria via LeMat-Bulk: CrBCl2 after structural relaxation (PBE-GGA).

**Relative energy among the computed polymorphs**: 0.000 eV per atom
**Raw formation energy**: 0.81 eV/atom

CIF file:
```
data_CrBCl2
_chemical_formula_sum 'Cr3 B3 Cl6'
_symmetry_space_group_name_H-M 'R -3 m'
_symmetry_Int_Tables_number 166
_symmetry_space_group_name_Hall '-R 3 2"'
_cell_length_a 3.7316
_cell_length_b 3.7316
_cell_length_c 22.8682
_cell_angle_alpha 90.00
_cell_angle_beta 90.00
_cell_angle_gamma 120.00
loop_
_atom_site_label
_atom_site_fract_x
_atom_site_fract_y
_atom_site_fract_z
Cr1 0.0000 0.0000 0.0000
B1 0.0000 0.0000 0.5000
Cl1 0.0000 0.0000 0.1006
```

Entry 4:
Entry from Alexandria via LeMat-Bulk: CaMgIN2 after structural relaxation (PBE-GGA).

**Relative energy among the computed polymorphs**: 0.000 eV per atom
**Raw formation energy**: 0.52 eV/atom

CIF file:
```
data_CaMgIN2
_chemical_formula_sum 'Ca1 Mg1 I1 N2'
_symmetry_space_group_name_H-M 'P 4/m m m'
_symmetry_Int_Tables_number 123
_symmetry_space_group_name_Hall '-P 4 2'
_cell_length_a 4.334
_cell_length_b 4.334
_cell_length_c 5.523
_cell_angle_alpha 90.00
_cell_angle_beta 90.00
_cell_angle_gamma 90.00
loop_
_atom_site_label
_atom_site_fract_x
_atom_site_fract_y
_atom_site_fract_z
Ca1 0.000 0.000 0.000
Mg1 0.500 0.500 0.500
I1 0.500 0.500 0.000
N1 0.000 0.500 0.500
```

Entry 5:
Entry from Alexandria via LeMat-Bulk: AcNdGdPu after structural relaxation (PBE-GGA).

**ΔE_f**: 0.26 eV/atom

CIF file:
```
data_AcNdGdPu
_chemical_formula_sum 'Ac4 Nd4 Gd4 Pu4'
_symmetry_space_group_name_H-M 'F -4 3 m'
_symmetry_Int_Tables_number 216
_symmetry_space_group_name_Hall 'F -4 2 3'
_cell_length_a 8.246
_cell_length_b 8.246
_cell_length_c 8.246
_cell_angle_alpha 90.00
_cell_angle_beta 90.00
_cell_angle_gamma 90.00
loop_
_atom_site_label
_atom_site_fract_x
_atom_site_fract_y
_atom_site_fract_z
Ac1 0.000 0.000 0.000
Nd1 0.000 0.000 0.500
Gd1 0.250 0.250 0.250
Pu1 0.250 0.250 0.750
```

DOS(E_F) in states/eV/f.u., matching the order above: 1.885, 4.432, 2.456, 2.758, 16.836